# PBE Ac2POs, relaxed
# Raw total energy, eV per atom: -6.464
# Calculated density, g/cm³: 10.7
# Magnetic moment, μB/cell: 0.0
# Formation enthalpy at 0 K, meV/atom: -250
data_Ac2POs
_chemical_formula_sum 'Ac2 P1 Os1'
_cell_length_a 5.235
_cell_length_b 5.235
_cell_length_c 3.807
_cell_angle_alpha 90.00
_cell_angle_beta 90.00
_cell_angle_gamma 90.00
_space_group_name_H-M_alt 'P 4/m m m'
_space_group_IT_number 123
_space_group_name_Hall '-P 4 2'
loop_
_atom_site_label
_atom_site_type_symbol
_atom_site_fract_x
_atom_site_fract_y
_atom_site_fract_z
Ac1 Ac 0.000 0.500 0.000
P1 P 0.000 0.000 0.500
Os1 Os 0.500 0.500 0.500